{"formula": "Pr3PbAu5", "functional": "PBE", "state": "relaxed", "lattice": [[-1.8683, -1.9198, 5.7904], [-7.3929, -3.6678, -3.6014], [7.5181, -4.8907, 0.8042]], "species": ["Au", "Au", "Pr", "Au", "Pr", "Au", "Au", "Pr", "Pr", "Au", "Au", "Au", "Pr", "Pr", "Pb", "Au", "Pb", "Au"], "fractional_positions": [[0.0000, 0.3333, 0.6667], [0.7500, 0.3189, 0.0000], [0.2500, 0.3521, 0.0000], [0.5000, 0.3333, 0.6667], [0.7500, 0.0000, 0.6479], [0.7500, 0.9999, 0.3189], [0.2500, 0.6811, 0.0000], [0.7500, 0.3521, 0.3521], [0.2500, 0.6479, 0.6479], [0.2500, 0.0001, 0.6811], [0.2500, 0.3189, 0.3189], [0.0000, 0.6667, 0.3333], [0.7500, 0.6479, 0.0000], [0.2500, 0.0000, 0.3521], [0.5000, 0.0000, 0.0000], [0.7500, 0.6811, 0.6811], [0.0000, 0.0000, 0.0000], [0.5000, 0.6667, 0.3333]], "rho_g_cm3": 11.97, "magmom_total_mub_per_cell": 0.0, "energy_ev_per_atom": -4.52, "formation_enthalpy_0k_mev_per_atom": -697.4}

{"formula": "PrPb2Au9", "functional": "PBE", "state": "relaxed", "lattice": [[5.6655, 0.0000, 0.0000], [2.8327, 4.9064, 0.0000], [2.8327, 1.6355, 9.4263]], "species": ["Pr", "Au", "Pb", "Au", "Au", "Au", "Pb", "Au", "Au", "Au", "Au", "Au"], "fractional_positions": [[0.0000, 0.0000, 0.0000], [0.5838, 0.0814, 0.7510], [0.8548, 0.8548, 0.4356], [0.3329, 0.3329, 0.0012], [0.5838, 0.5838, 0.7510], [0.4162, 0.9186, 0.2490], [0.1452, 0.1452, 0.5644], [0.5000, 0.5000, 0.5000], [0.4162, 0.4162, 0.2490], [0.6671, 0.6671, 0.9988], [0.9186, 0.4162, 0.2490], [0.0814, 0.5838, 0.7510]], "rho_g_cm3": 14.75, "magmom_total_mub_per_cell": 0.0, "energy_ev_per_atom": -3.70, "formation_enthalpy_0k_mev_per_atom": -223.7}